1:
The following is a PBE calculation of Y4Ni after structural relaxation, from Alexandria.

Cell: 4.006 4.006 18.489 Å, 90.00 90.00 90.00°
Space group I4/mmm (No. 139)
Inequivalent atoms, fractional coordinates:
1 Y 0.000 0.000 0.082 x4
2 Y 0.000 0.500 0.250 x4
3 Ni 0.000 0.000 0.500 x2

Summary:
ρ ... 4.64 Mg/m³
Total magnetic moment ... 0.0 Bohr magnetons per cell

2:
The following is a PBE calculation of Y4Ni after structural relaxation, from Alexandria.

Cell: 6.668 6.668 6.668 Å, 90.00 90.00 90.00°
Space group Im-3m (No. 229)
Inequivalent atoms, fractional coordinates:
1 Y 0.250 0.250 0.250 x8
2 Ni 0.000 0.000 0.000 x2

Summary:
ρ ... 4.64 Mg/m³
Total magnetic moment ... 0.0 Bohr magnetons per cell

Stability summary - winner: 2; margin: 0.310 eV/atom.